## KZr2Br (SCAN)

Data for a PBEsol-optimized structure of KZr2Br. Values from VASP.

Quantum ESPRESSO input file:
```
&SYSTEM
  ibrav = 0, nat = 4, ntyp = 3
/
ATOMIC_SPECIES
Br 79.90 Br.upf
K 39.10 K.upf
Zr 91.22 Zr.upf
CELL_PARAMETERS angstrom
-0.6096 2.5669 -1.9179
0.3475 -2.9618 -4.0160
-6.2355 -1.0428 3.3307
ATOMIC_POSITIONS angstrom
Br 0.0000 0.0000 0.0000
K -0.1310 -0.1975 -2.9670
Zr -3.1177 -0.5214 1.6653
Zr -3.2488 -0.7189 -1.3016
```

Output
Energy above the lowest structure with this stoichiometry, meV/atom: 496.9
DFT total energy, eV/atom: -22.12
V, Å³/atom: 26.50
SG: C2/m, No. 12